Entry 1:
Compound: SrH8Rh2
Source: Alexandria
Functional: GGA-PBE
Structure: relaxed

Cell lengths 3.7956, 4.9069, 9.6334 Å; angles 90.00, 90.00, 90.00 degrees
With the nearest neighbours (Å) after each atom.
Space group I222 (No. 23)
Symmetry-distinct sites (fractional):
Sr  0.0000  0.0000  0.0000 x2  4 H 2.38
H  0.0000  0.2085  0.5000 x4  2 Rh 1.77
H  0.0000  0.5000  0.1236 x4  2 Rh 1.92, 4 H 1.97
H  0.2500  0.2453  0.2478 x8  2 Rh 1.82-1.83, 4 H 1.90-1.97
Rh  0.0000  0.0000  0.3498 x4  8 H 1.77-1.92

Calculated values
- ΔE to the lowest computed polymorph (kcal/mol of atoms) = 4.21

=====

Entry 2:
Compound: SrH3Rh
Source: Alexandria
Functional: GGA-PBE
Structure: relaxed

Cell lengths 3.7122, 3.7122, 18.5010 Å; angles 90.00, 90.00, 90.00 degrees
With the nearest neighbours (Å) after each atom.
Space group I-4m2 (No. 119)
Symmetry-distinct sites (fractional):
Sr  0.0000  0.0000  0.1053 x4  8 H 2.55-2.70
H  0.0000  0.2172  0.3192 x8  1 H 1.61, 1 Rh 1.66
H  0.0000  0.5000  0.9997 x4  2 Rh 1.86
Rh  0.0000  0.0000  0.5000 x2  4 H 1.86
Rh  0.0000  0.5000  0.2500 x2  4 H 1.66

=====

Entry 3:
Compound: SrH3Rh
Source: Alexandria
Functional: GGA-PBE
Structure: relaxed

Cell lengths 9.7849, 9.7849, 9.7849 Å; angles 90.00, 90.00, 90.00 degrees
With the nearest neighbours (Å) after each atom.
Space group Fd-3m (No. 227, origin choice 2)
Symmetry-distinct sites (fractional):
Sr  0.0000  0.0000  0.0000 x16  6 H 2.57
H  0.0551  0.3750  0.8750 x48  2 Rh 1.81
Rh  0.0000  0.0000  0.5000 x16  6 H 1.81

=====

Entry 4:
Compound: Sr6H12Rh
Source: Alexandria
Functional: GGA-PBE
Structure: relaxed

Cell lengths 10.2429, 10.2429, 10.0242 Å; angles 90.00, 90.00, 120.00 degrees
With the nearest neighbours (Å) after each atom.
Space group R-3 (No. 148, hexagonal axes)
Symmetry-distinct sites (fractional):
Sr  0.0594  0.2516  0.1545 x18  6 H 2.38-2.66
H  0.0540  0.2480  0.9147 x18  4 Sr 2.38-2.46, 1 H 2.65
H  0.0593  0.1630  0.4038 x18  1 Rh 1.75
Rh  0.0000  0.0000  0.5000 x3  6 H 1.75

=====

Entry 5:
Compound: Sr3H7Rh2
Source: Alexandria
Functional: GGA-PBE
Structure: relaxed

Cell lengths 3.8109, 3.8109, 22.1403 Å; angles 90.00, 90.00, 90.00 degrees
With the nearest neighbours (Å) after each atom.
Space group I4/mmm (No. 139)
Symmetry-distinct sites (fractional):
Sr  0.0000  0.0000  0.0000 x2  12 H 2.68-2.69
Sr  0.0000  0.0000  0.1668 x4  8 H 2.63-2.70
H  0.0000  0.0000  0.3370 x4  1 Rh 1.73
H  0.0000  0.0000  0.5000 x2  2 Rh 1.88
H  0.0000  0.5000  0.0849 x8  2 Rh 1.91
Rh  0.0000  0.0000  0.4151 x4  6 H 1.73-1.91

=====

Entry 6:
Compound: SrH3Rh
Source: Alexandria
Functional: GGA-PBE
Structure: relaxed

Cell lengths 3.1033, 4.5992, 10.2560 Å; angles 90.00, 90.00, 90.00 degrees
With the nearest neighbours (Å) after each atom.
Space group Amm2 (No. 38)
Symmetry-distinct sites (fractional):
Sr  0.0000  0.0000  0.0000 x2  4 H 2.26-2.41
H  0.0000  0.2033  0.6935 x4  2 Rh 1.82, 1 H 1.87
H  0.5000  0.0000  0.8395 x2  1 Rh 1.65
Rh  0.5000  0.0000  0.6789 x2  5 H 1.65-1.82

=====

Entry 7:
Compound: Sr3H12Rh5
Source: Alexandria
Functional: GGA-PBE
Structure: relaxed

Cell lengths 11.9818, 11.9818, 11.9818 Å; angles 90.00, 90.00, 90.00 degrees
With the nearest neighbours (Å) after each atom.
Space group Ia-3d (No. 230)
Symmetry-distinct sites (fractional):
Sr  0.0000  0.2500  0.1250 x24  8 H 2.51-2.54
H  0.0428  0.1338  0.9565 x96  2 Rh 1.76-1.78
Rh  0.0000  0.0000  0.0000 x16  6 H 1.76
Rh  0.0000  0.2500  0.3750 x24  4 H 1.78

=====

Entry 8:
Compound: SrH7Rh2
Source: Alexandria
Functional: GGA-PBE
Structure: relaxed

Cell lengths 5.3259, 9.2037, 3.6482 Å; angles 90.00, 90.00, 90.00 degrees
With the nearest neighbours (Å) after each atom.
Space group Cmmm (No. 65)
Symmetry-distinct sites (fractional):
Sr  0.0000  0.0000  0.0000 x2  8 H 2.49
H  0.0000  0.3219  0.0000 x4  2 Rh 1.83
H  0.0000  0.5000  0.5000 x2  2 Rh 1.71
H  0.1838  0.1513  0.5000 x8  2 Rh 1.71-1.79
Rh  0.0000  0.3142  0.5000 x4  7 H 1.71-1.83

=====

Entry 9:
Compound: Sr3HRh2
Source: Alexandria
Functional: GGA-PBE
Structure: relaxed

Cell lengths 9.4771, 8.3746, 7.3142 Å; angles 90.00, 102.11, 90.00 degrees
With the nearest neighbours (Å) after each atom.
Space group C2/c (No. 15)
Symmetry-distinct sites (fractional):
Sr  0.0000  0.1005  0.2500 x4  1 H 2.69, 2 Rh 2.99
Sr  0.1692  0.4347  0.9683 x8  1 H 2.70, 1 Rh 3.02
H  0.0000  0.2202  0.7500 x4  2 Rh 1.85
Rh  0.1482  0.2336  0.6206 x8  1 H 1.85

=====

Entry 10:
Compound: Sr2HRh
Source: Alexandria
Functional: GGA-PBE
Structure: relaxed

Cell lengths 7.4302, 3.6888, 8.1626 Å; angles 90.00, 106.00, 90.00 degrees
With the nearest neighbours (Å) after each atom.
Space group P2_1/m (No. 11)
Symmetry-distinct sites (fractional):
Sr  0.2474  0.2500  0.4396 x2  1 H 2.58
Sr  0.2514  0.2500  0.9350 x2  1 H 2.58
H  0.4750  0.2500  0.7426 x2  2 Rh 1.85
Rh  0.4547  0.7500  0.7371 x2  2 H 1.85

Calculated values
- ΔE to the lowest computed polymorph (kcal/mol of atoms) = 0.00

=====

Entry 11:
Compound: Sr2HRh
Source: Alexandria
Functional: GGA-PBE
Structure: relaxed

Cell lengths 3.4906, 3.4906, 7.4541 Å; angles 90.00, 90.00, 90.00 degrees
With the nearest neighbours (Å) after each atom.
Space group P4/mmm (No. 123)
Symmetry-distinct sites (fractional):
Sr  0.0000  0.0000  0.2466 x2  4 Rh 3.08, 4 H 3.11
H  0.5000  0.5000  0.5000 x1  8 Sr 3.11
Rh  0.5000  0.5000  0.0000 x1  8 Sr 3.08

Calculated values
- ΔE to the lowest computed polymorph (kcal/mol of atoms) = 1.67

=====

Entry 12:
Compound: SrH3Rh
Source: Alexandria
Functional: GGA-PBE
Structure: relaxed

Cell lengths 8.1964, 10.2121, 5.7737 Å; angles 90.00, 100.74, 90.00 degrees
With the nearest neighbours (Å) after each atom.
Space group C2/c (No. 15)
Symmetry-distinct sites (fractional):
Sr  0.0000  0.1052  0.2500 x4  6 H 2.41-2.49
Sr  0.0000  0.3456  0.7500 x4  10 H 2.54-2.74
H  0.0990  0.1174  0.6697 x8  1 Rh 1.66
H  0.1918  0.2663  0.1240 x8  1 Rh 1.61
H  0.1952  0.4983  0.0686 x8  2 Rh 1.83-1.91
Rh  0.1965  0.3834  0.3127 x8  2 H 1.61-1.66

=====

| no. | calculated density (g cm⁻³) | energy (eV/atom) |
| --- | --- | --- |
| 1 | 5.58 | -3.9919 |
| 2 | 5.04 | -3.9998 |
| 3 | 5.49 | -4.0447 |
| 4 | 3.50 | -3.4236 |
| 5 | 4.91 | -4.1127 |
| 6 | 4.39 | -3.8956 |
| 7 | 6.10 | -4.3580 |
| 8 | 5.58 | -4.2865 |
| 9 | 5.50 | -4.1525 |
| 10 | 4.31 | -3.7575 |
| 11 | 5.10 | -3.6850 |
| 12 | 5.42 | -4.1751 |